1.
A plane-wave DFT calculation with PBE was carried out for an optimized crystal structure of Rb3MnCl6.

Results
size of the total moment = 8.000 μB per cell
calculated volume = 32.66 A^3/atom
E = -3.89 eV/atom

Geometry as POSCAR:
```
Rb3MnCl6
1.0
7.517 0.000 0.000
0.000 8.118 0.000
-7.432 0.000 10.703
Rb Mn Cl
6 2 12
direct
0.000 0.000 0.000
0.000 0.500 0.500
0.284 0.074 0.757
0.284 0.426 0.257
0.716 0.574 0.743
0.716 0.926 0.243
0.500 0.000 0.500
0.500 0.500 0.000
0.201 0.031 0.296
0.201 0.469 0.796
0.290 0.656 0.043
0.290 0.844 0.543
0.392 0.226 0.062
0.392 0.274 0.562
0.608 0.726 0.438
0.608 0.774 0.938
0.710 0.156 0.457
0.710 0.344 0.957
0.799 0.531 0.204
0.799 0.969 0.704
```


2.
A plane-wave DFT calculation with PBE was carried out for an optimized crystal structure of Sr2Mg.

Results
size of the total moment = 0.000 μB per cell
calculated volume = 45.09 A^3/atom
E_form = 0.077 eV per atom

Geometry as POSCAR:
```
Sr2Mg
1.0
4.169 0.000 0.000
-2.085 3.611 0.000
0.000 0.000 17.969
Sr Mg
4 2
direct
0.333 0.667 0.099
0.333 0.667 0.401
0.667 0.333 0.599
0.667 0.333 0.901
0.333 0.667 0.750
0.667 0.333 0.250
```


3.
A plane-wave DFT calculation with PBE was carried out for an optimized crystal structure of Tb7In4Pb.

Results
size of the total moment = 0.001 μB per cell
calculated volume = 30.75 A^3/atom
E_form = -0.181 eV per atom

Geometry as POSCAR:
```
Tb7In4Pb
1.0
7.165 -2.896 0.000
7.165 2.896 0.000
-6.768 0.000 8.891
Tb In Pb
7 4 1
direct
0.000 0.000 0.000
0.161 0.161 0.595
0.286 0.286 0.128
0.430 0.430 0.674
0.570 0.570 0.326
0.714 0.714 0.872
0.839 0.839 0.405
0.062 0.062 0.771
0.204 0.204 0.341
0.796 0.796 0.659
0.938 0.938 0.229
0.500 0.500 0.000
```


4.
A plane-wave DFT calculation with PBE was carried out for an optimized crystal structure of Ce2Ge3Pt.

Results
size of the total moment = 1.801 μB per cell
calculated volume = 21.03 A^3/atom
E_form = -0.794 eV per atom

Geometry as POSCAR:
```
Ce2Ge3Pt
1.0
10.801 0.000 0.000
0.000 4.357 0.000
-4.540 0.000 5.364
Ce Ge Pt
4 6 2
direct
0.000 0.000 0.000
0.116 0.000 0.628
0.500 0.500 0.000
0.616 0.500 0.628
0.189 0.500 0.417
0.233 0.500 0.059
0.389 0.000 0.591
0.689 0.000 0.417
0.733 0.000 0.059
0.889 0.500 0.591
0.386 0.000 0.209
0.886 0.500 0.209
```


5.
A plane-wave DFT calculation with PBE was carried out for an optimized crystal structure of NpHgBr4.

Results
size of the total moment = 5.954 μB per cell
calculated volume = 40.83 A^3/atom
E = -4.24 eV/atom

Geometry as POSCAR:
```
NpHgBr4
1.0
8.421 -3.960 0.000
8.421 3.960 0.000
-1.197 0.000 7.345
Np Hg Br
2 2 8
direct
0.040 0.040 0.297
0.960 0.960 0.703
0.297 0.297 0.785
0.703 0.703 0.215
0.116 0.691 0.403
0.189 0.189 0.220
0.233 0.767 0.000
0.309 0.884 0.597
0.691 0.116 0.403
0.767 0.233 0.000
0.811 0.811 0.780
0.884 0.309 0.597
```


6.
A plane-wave DFT calculation with PBE was carried out for an optimized crystal structure of GaAg2Os.

Results
size of the total moment = 2.438 μB per cell
calculated volume = 17.43 A^3/atom
E_form = 0.623 eV per atom

Geometry as POSCAR:
```
GaAg2Os
1.0
3.720 0.000 0.000
0.000 3.720 0.000
0.000 0.000 20.155
Ga Ag Os
4 8 4
direct
0.000 0.000 0.000
0.000 0.500 0.250
0.500 0.000 0.750
0.500 0.500 0.500
0.248 0.250 0.625
0.250 0.748 0.875
0.250 0.752 0.375
0.252 0.250 0.125
0.748 0.750 0.125
0.750 0.248 0.375
0.750 0.252 0.875
0.752 0.750 0.625
0.000 0.000 0.500
0.000 0.500 0.750
0.500 0.000 0.250
0.500 0.500 0.000
```


What is the formula in the third record? Tb7In4Pb


Which of these has the lowest calculated volume? GaAg2Os


Number 4 is which compound? Ce2Ge3Pt